[1]
The following is a PBE calculation of a relaxed structure of Al3CrIn, from the Alexandria database.

Results
The calculation puts the density at 3.76 Mg/m³. The space group is Pm-3m, No. 221. As for the size of the total moment: 0.36 μB/atom. Its total energy is -21.22 eV/cell. The calculation puts the formation energy at 0.47 eV per atom. The density of states at the Fermi level comes out at 0.7952 states/eV per atom.

Lattice parameters (Å, degrees): 4.782 4.782 4.782 90.00 90.00 90.00
Sites, in units of the cell vectors:
Al  0.000  0.000  0.500
Al  0.000  0.500  0.000
Al  0.500  0.000  0.000
Cr  0.000  0.000  0.000
In  0.500  0.500  0.500

***

[2]
The following is a PBE calculation of a relaxed structure of AlCr2In2, from the Alexandria database.

Results
The calculation puts the density at 6.93 Mg/m³. The space group is P4/mbm, No. 127. As for the size of the total moment: 0.19 μB/atom. Its total energy is -54.01 eV/cell. The calculation puts the formation energy at 0.29 eV per atom. The density of states at the Fermi level comes out at 0.6830 states/eV per atom.

Lattice parameters (Å, degrees): 6.362 6.362 4.270 90.00 90.00 90.00
Sites, in units of the cell vectors:
Al  0.000  0.000  0.000
Al  0.500  0.500  0.000
Cr  0.120  0.380  0.000
Cr  0.380  0.880  0.000
Cr  0.620  0.120  0.000
Cr  0.880  0.620  0.000
In  0.175  0.675  0.500
In  0.325  0.175  0.500
In  0.675  0.825  0.500
In  0.825  0.325  0.500